1.
! PBE-GGA SbAsW, optimized geometry; values from VASP
&SYSTEM
  ibrav = 0, nat = 3, ntyp = 3
/
ATOMIC_SPECIES
Sb 121.76 Sb.upf
As 74.92 As.upf
W 183.84 W.upf
CELL_PARAMETERS angstrom
3.362 0.000 0.000
-1.681 2.912 0.000
0.000 0.000 6.346
ATOMIC_POSITIONS crystal
Sb 0.000 0.000 0.000
As 0.333 0.667 0.579
W 0.667 0.333 0.319
! * E: -7.04 eV/atom
! * excess energy over the best structure of this formula in the dataset: 0.00 eV/f.u.
! * N(E_F): 0.5109 states/eV per atom
! * energy relative to the elements, uncorrected: 200 meV/atom



2.
! PBE-GGA PrPuSe2, optimized geometry; values from VASP
&SYSTEM
  ibrav = 0, nat = 4, ntyp = 3
/
ATOMIC_SPECIES
Pr 140.91 Pr.upf
Pu 244.00 Pu.upf
Se 78.96 Se.upf
CELL_PARAMETERS angstrom
5.177 0.000 0.000
0.000 5.177 0.000
0.000 0.000 3.620
ATOMIC_POSITIONS crystal
Pr 0.000 0.000 0.000
Pu 0.500 0.500 0.000
Se 0.000 0.500 0.500
Se 0.500 0.000 0.500
! * E: -7.97 eV/atom
! * excess energy over the best structure of this formula in the dataset: 1.02 eV/f.u.
! * N(E_F): 1.7525 states/eV per atom
! * energy relative to the elements, uncorrected: -1449 meV/atom



3.
! PBE-GGA SmErBr, optimized geometry; values from VASP
&SYSTEM
  ibrav = 0, nat = 3, ntyp = 3
/
ATOMIC_SPECIES
Sm 150.36 Sm.upf
Er 167.26 Er.upf
Br 79.90 Br.upf
CELL_PARAMETERS angstrom
3.734 0.000 0.000
-1.867 3.234 0.000
0.000 0.000 7.358
ATOMIC_POSITIONS crystal
Sm 0.000 0.000 0.000
Er 0.667 0.333 0.364
Br 0.333 0.667 0.672
! * E: -4.39 eV/atom
! * N(E_F): 1.1474 states/eV per atom
! * energy relative to the elements, uncorrected: -736 meV/atom



4.
! PBE-GGA PmDyThAg, optimized geometry; values from VASP
&SYSTEM
  ibrav = 0, nat = 4, ntyp = 4
/
ATOMIC_SPECIES
Pm 145.00 Pm.upf
Dy 162.50 Dy.upf
Th 232.04 Th.upf
Ag 107.87 Ag.upf
CELL_PARAMETERS angstrom
0.000 3.838 3.838
3.838 0.000 3.838
3.838 3.838 0.000
ATOMIC_POSITIONS crystal
Pm 0.000 0.000 0.000
Dy 0.250 0.250 0.250
Th 0.750 0.750 0.750
Ag 0.500 0.500 0.500
! * E: -4.76 eV/atom
! * N(E_F): 2.0662 states/eV per atom
! * energy relative to the elements: 0.15 eV per atom



5.
! PBE-GGA Na7SnBi2, optimized geometry; values from VASP
&SYSTEM
  ibrav = 0, nat = 10, ntyp = 3
/
ATOMIC_SPECIES
Na 22.99 Na.upf
Sn 118.71 Sn.upf
Bi 208.98 Bi.upf
CELL_PARAMETERS angstrom
4.801 -7.541 0.000
4.801 7.541 0.000
0.000 0.000 5.740
ATOMIC_POSITIONS crystal
Na 0.000 0.000 0.000
Na 0.189 0.444 0.000
Na 0.263 0.737 0.500
Na 0.444 0.189 0.000
Na 0.556 0.811 0.000
Na 0.737 0.263 0.500
Na 0.811 0.556 0.000
Sn 0.500 0.500 0.500
Bi 0.199 0.801 0.000
Bi 0.801 0.199 0.000
! * E: -2.15 eV/atom
! * N(E_F): 0.8202 states/eV per atom
! * energy relative to the elements: -0.05 eV per atom



6.
! PBE-GGA Ba3GeO, optimized geometry; values from VASP
&SYSTEM
  ibrav = 0, nat = 10, ntyp = 3
/
ATOMIC_SPECIES
Ba 137.33 Ba.upf
Ge 72.64 Ge.upf
O 16.00 O.upf
CELL_PARAMETERS angstrom
9.266 -1.970 0.000
9.266 1.970 0.000
-0.955 0.000 9.797
ATOMIC_POSITIONS crystal
Ba 0.018 0.018 0.327
Ba 0.264 0.264 0.684
Ba 0.344 0.344 0.037
Ba 0.656 0.656 0.963
Ba 0.736 0.736 0.316
Ba 0.982 0.982 0.673
Ge 0.381 0.381 0.424
Ge 0.619 0.619 0.576
O 0.211 0.211 0.117
O 0.789 0.789 0.883
! * E: -4.22 eV/atom
! * N(E_F): 0.3052 states/eV per atom
! * energy relative to the elements, uncorrected: -1156 meV/atom



In μB/f.u., the total magnetic moment values for the records above are, in order, 0.00; 6.50; 0.35; 0.02; 2.40; 0.00.